(1)
## DyYTc (PBE-GGA)

Data for a relaxed structure of DyYTc.

a = 4.000 Å, b = 4.394 Å, c = 9.447 Å
α = 76.55°, β = 90.00°, γ = 90.00°
Fractional coordinates of all 6 atoms:
1 Dy 0.250 0.083 0.833
2 Dy 0.750 0.917 0.167
3 Tc 0.250 0.465 0.071
4 Tc 0.750 0.535 0.929
5 Y 0.750 0.697 0.607
6 Y 0.250 0.303 0.393

Properties
symmetry = Cmcm, No. 63

(2)
## Ca2Al4Cu3Au (PBE-GGA)

Data for a relaxed structure of Ca2Al4Cu3Au.

a = 4.209 Å, b = 4.209 Å, c = 10.583 Å
α = 90.00°, β = 90.00°, γ = 90.00°
Fractional coordinates of all 10 atoms:
1 Ca 0.500 0.000 0.246
2 Ca 0.000 0.500 0.754
3 Al 0.500 0.500 0.000
4 Al 0.000 0.000 0.000
5 Al 0.500 0.000 0.635
6 Al 0.000 0.500 0.365
7 Cu 0.000 0.000 0.500
8 Cu 0.500 0.000 0.868
9 Cu 0.000 0.500 0.132
10 Au 0.500 0.500 0.500

Properties
symmetry = P-4m2, No. 115

It is found that the total energy values, taken in the order of the records, are -7.1229 -3.8107 eV/atom.
It is found that the energy of formation from the pure elements values, taken in the order of the records, are 21.2 -356.7 meV per atom.
It is found that the density of states at the Fermi level values, taken in the order of the records, are 1.246 0.529 states/eV per atom.